No. 1
Cd2Mo2N | Alexandria via LeMat-Bulk | PBE | optimized geometry; space-group type = P4/mbm; formation energy without anion corrections = 12 kJ/mol of atoms; E_tot = -62.3 eV per cell; crystal system = tetragonal
1.0
5.5954 0.0000 0.0000
0.0000 5.5954 0.0000
0.0000 0.0000 5.2409
Mo Cd N
4 4 2
Direct
0.8286 0.6714 0.0000
0.1714 0.3286 0.0000
0.3286 0.8286 0.0000
0.6714 0.1714 0.0000
0.3285 0.1715 0.5000
0.1715 0.6715 0.5000
0.8285 0.3285 0.5000
0.6715 0.8285 0.5000
0.0000 0.0000 0.0000
0.5000 0.5000 0.0000

=====

No. 2
LiHfTl2 | Alexandria via LeMat-Bulk | PBE | optimized geometry; space-group type = R3m; energy relative to the elements = 25 meV/atom; E_tot = -16.5 eV per cell; crystal system = trigonal
1.0
3.2609 0.0000 0.0000
1.6305 2.8241 0.0000
1.6305 0.9414 9.8880
Tl Hf Li
2 1 1
Direct
0.2545 0.2545 0.2365
0.0789 0.0789 0.7634
0.5001 0.5001 0.4996
0.6665 0.6665 0.0005

=====

No. 3
Mg7SnAu2 | Alexandria via LeMat-Bulk | PBE | optimized geometry; space-group type = I4/mmm; energy relative to the elements = -350 meV/atom; E_tot = -25.2 eV per cell; crystal system = tetragonal
1.0
-3.1085 -2.9007 -1.7038
3.0006 -1.3418 -3.1899
3.5776 -5.4795 8.9585
Mg Au Sn
7 2 1
Direct
0.1021 0.6021 0.2042
0.6021 0.1021 0.2042
0.2500 0.7500 0.5000
0.8979 0.3979 0.7958
0.3979 0.8979 0.7958
0.7500 0.2500 0.5000
0.5000 0.5000 0.0000
0.3276 0.3276 0.6552
0.6724 0.6724 0.3448
0.0000 0.0000 0.0000